A plane-wave DFT calculation with PBE was carried out for an optimized crystal structure of CoAs2P.

Lattice parameters (Å, degrees): 6.5319 6.5319 6.5319 130.56 130.56 72.51
With the nearest neighbours (Å) after each atom.
Element x y z (fractional)
Co (0.0000, 0.0000, 0.0000)  4 As 2.25
Co (0.7500, 0.2500, 0.5000)  4 As 2.25
As (0.0968, 0.6250, 0.9718)  2 Co 2.25, 2 P 2.43
As (0.3750, 0.3468, 0.4718)  2 Co 2.25, 2 P 2.43
As (0.6532, 0.1250, 0.0282)  2 Co 2.25, 2 P 2.43
As (0.8750, 0.9032, 0.5282)  2 Co 2.25, 2 P 2.43
P (0.2500, 0.7500, 0.5000)  4 As 2.43
P (0.5000, 0.5000, 0.0000)  4 As 2.43

Output
Formation energy from the elements in eV per formula unit: 0.36
Fermi-level density of states in states/eV per atom: 0.3620
Theoretical density in g cm⁻³: 5.07
Final energy in eV per atom: -5.36

***

A plane-wave DFT calculation with PBE was carried out for an optimized crystal structure of Co2AsP.

Lattice parameters (Å, degrees): 2.7166 2.8016 6.6444 90.00 90.00 90.00
With the nearest neighbours (Å) after each atom.
Element x y z (fractional)
Co (0.0000, 0.0000, 0.1852)  4 P 2.31, 1 Co 2.46, 2 As 2.52
Co (0.0000, 0.0000, 0.8148)  4 P 2.31, 1 Co 2.46, 2 As 2.52
As (0.0000, 0.5000, 0.5000)  4 Co 2.52, 4 As 2.72-2.80
P (0.5000, 0.5000, 0.0000)  8 Co 2.31

Output
Formation energy from the elements in eV per formula unit: -0.65
Fermi-level density of states in states/eV per atom: 0.8235
Theoretical density in g cm⁻³: 7.35
Final energy in eV per atom: -6.23
E above lowest polymorph in kJ/mol of atoms: 8.1

***

A plane-wave DFT calculation with PBE was carried out for an optimized crystal structure of CoAsP.

Lattice parameters (Å, degrees): 5.5916 5.5916 5.5916 90.00 90.00 90.00
With the nearest neighbours (Å) after each atom.
Element x y z (fractional)
Co (0.0191, 0.0191, 0.0191)  3 P 2.24, 3 As 2.42
Co (0.4809, 0.9809, 0.5191)  3 P 2.24, 3 As 2.42
Co (0.5191, 0.4809, 0.9809)  3 P 2.24, 3 As 2.42
Co (0.9809, 0.5191, 0.4809)  3 P 2.24, 3 As 2.42
As (0.1251, 0.6251, 0.8749)  1 P 2.36, 3 Co 2.42
As (0.3749, 0.3749, 0.3749)  1 P 2.36, 3 Co 2.42
As (0.6251, 0.8749, 0.1251)  1 P 2.36, 3 Co 2.42
As (0.8749, 0.1251, 0.6251)  1 P 2.36, 3 Co 2.42
P (0.1186, 0.8814, 0.3814)  3 Co 2.24, 1 As 2.36
P (0.3814, 0.1186, 0.8814)  3 Co 2.24, 1 As 2.36
P (0.6186, 0.6186, 0.6186)  3 Co 2.24, 1 As 2.36
P (0.8814, 0.3814, 0.1186)  3 Co 2.24, 1 As 2.36

Output
Formation energy from the elements in eV per formula unit: -0.69
Fermi-level density of states in states/eV per atom: 0.6986
Theoretical density in g cm⁻³: 6.26
Final energy in eV per atom: -5.95
E above lowest polymorph in kJ/mol of atoms: 20.5

***

Which value of formation energy from the elements does entry 2 give? -0.65 eV per formula unit

***

Number 2 is which compound? Co2AsP

***

Among the records above, which one has the lowest theoretical density? CoAs2P

***

Which of these has the lowest formation energy from the elements? CoAsP